[1]
First-principles (PBE) data for TaCd after structural relaxation, as listed in Alexandria.

The structure in POSCAR format:
```
TaCd
1.0
4.559 0.000 0.000
-2.280 3.948 0.000
0.000 0.000 5.212
Ta Cd
2 2
Direct
0.000 0.000 0.000
0.000 0.000 0.500
0.333 0.667 0.250
0.667 0.333 0.750
```

total magnetic moment = 0.00 Bohr magnetons per cell
Fermi-level density of states = 2.34 states/eV per cell
formation energy from the elements = 1067 meV per atom

[2]
First-principles (PBE) data for KZn4Pt after structural relaxation, as listed in Alexandria.

The structure in POSCAR format:
```
KZn4Pt
1.0
0.000 3.735 3.735
3.735 0.000 3.735
3.735 3.735 0.000
K Zn Pt
1 4 1
Direct
0.000 0.000 0.000
0.377 0.377 0.377
0.377 0.377 0.870
0.377 0.870 0.377
0.870 0.377 0.377
0.750 0.750 0.750
```

total magnetic moment = 0.00 Bohr magnetons per cell
Fermi-level density of states = 4.65 states/eV per cell
formation energy from the elements = 30 meV per atom

Which value of Fermi-level density of states does entry 2 give? 4.65 states/eV per cell

Which of these has the highest formation energy from the elements? TaCd

Which value of Fermi-level density of states does entry 2 give? 4.65 states/eV per cell

Look up the formation energy from the elements of the first one. 1067 meV per atom